(1)
## CuPN2F (PBE)

Data for a relaxed structure of CuPN2F.

Values from the calculation:
volume	10.1	Å³/atom
uncorrected formation energy	1.95	eV/f.u.
SG	P4/mmm (123)
total DFT energy (no corrections)	-26.08	eV per formula unit
total magnetization	0.43	μB per cell

abc: 3.312 3.312 4.595
angles: 90.00 90.00 90.00
Positions (direct):
Cu1 0.000 0.000 0.000
P1 0.500 0.500 0.500
N1 0.000 0.500 0.500
N2 0.500 0.000 0.500
F1 0.500 0.500 0.000

(2)
## CuPNF2 (PBE)

Data for a relaxed structure of CuPNF2.

Values from the calculation:
volume	11.9	Å³/atom
uncorrected formation energy	1.41	eV/f.u.
SG	P4/mmm (123)
total DFT energy (no corrections)	-20.17	eV per formula unit
total magnetization	0.26	μB per cell

abc: 3.697 3.697 4.356
angles: 90.00 90.00 90.00
Positions (direct):
Cu1 0.000 0.000 0.000
P1 0.500 0.500 0.500
N1 0.000 0.000 0.500
F1 0.000 0.500 0.000
F2 0.500 0.000 0.000

(3)
## CuPNF2 (PBE)

Data for a relaxed structure of CuPNF2.

Values from the calculation:
volume	11.9	Å³/atom
uncorrected formation energy	-1.13	eV/f.u.
SG	P4/mmm (123)
total DFT energy (no corrections)	-22.70	eV per formula unit
total magnetization	0.00	μB per cell

abc: 4.242 4.242 3.303
angles: 90.00 90.00 90.00
Positions (direct):
Cu1 0.000 0.000 0.000
P1 0.500 0.500 0.500
N1 0.500 0.500 0.000
F1 0.000 0.500 0.500
F2 0.500 0.000 0.500

(4)
## CuPbNF2 (PBE)

Data for a relaxed structure of CuPbNF2.

Values from the calculation:
volume	16.9	Å³/atom
uncorrected formation energy	-0.23	eV/f.u.
SG	P4/mmm (123)
total DFT energy (no corrections)	-20.10	eV per formula unit
total magnetization	0.37	μB per cell

abc: 4.453 4.453 4.250
angles: 90.00 90.00 90.00
Positions (direct):
Cu1 0.000 0.000 0.000
Pb1 0.500 0.500 0.500
N1 0.500 0.500 0.000
F1 0.000 0.500 0.500
F2 0.500 0.000 0.500

(5)
## CuPbNF2 (PBE)

Data for a relaxed structure of CuPbNF2.

Values from the calculation:
volume	13.6	Å³/atom
uncorrected formation energy	-2.91	eV/f.u.
SG	P4/mmm (123)
total DFT energy (no corrections)	-22.79	eV per formula unit
total magnetization	1.26	μB per cell

abc: 4.236 4.236 3.793
angles: 90.00 90.00 90.00
Positions (direct):
Cu1 0.000 0.000 0.000
Pb1 0.500 0.500 0.500
N1 0.000 0.000 0.500
F1 0.000 0.500 0.000
F2 0.500 0.000 0.000

(6)
## CuPdN2F (PBE)

Data for a relaxed structure of CuPdN2F.

Values from the calculation:
volume	13.3	Å³/atom
uncorrected formation energy	6.05	eV/f.u.
SG	P4/mmm (123)
total DFT energy (no corrections)	-21.77	eV per formula unit
total magnetization	2.98	μB per cell

abc: 3.940 3.940 4.292
angles: 90.00 90.00 90.00
Positions (direct):
Cu1 0.000 0.000 0.000
Pd1 0.500 0.500 0.500
N1 0.000 0.500 0.500
N2 0.500 0.000 0.500
F1 0.500 0.500 0.000

(7)
## CuPdNF2 (PBE)

Data for a relaxed structure of CuPdNF2.

Values from the calculation:
volume	11.8	Å³/atom
uncorrected formation energy	0.68	eV/f.u.
SG	P4/mmm (123)
total DFT energy (no corrections)	-20.68	eV per formula unit
total magnetization	1.61	μB per cell

abc: 3.822 3.822 4.032
angles: 90.00 90.00 90.00
Positions (direct):
Cu1 0.000 0.000 0.000
Pd1 0.500 0.500 0.500
N1 0.000 0.000 0.500
F1 0.000 0.500 0.000
F2 0.500 0.000 0.000

(8)
## CuPdN2F (PBE)

Data for a relaxed structure of CuPdN2F.

Values from the calculation:
volume	11.0	Å³/atom
uncorrected formation energy	5.68	eV/f.u.
SG	P4/mmm (123)
total DFT energy (no corrections)	-22.13	eV per formula unit
total magnetization	0.92	μB per cell

abc: 3.821 3.821 3.782
angles: 90.00 90.00 90.00
Positions (direct):
Cu1 0.000 0.000 0.000
Pd1 0.500 0.500 0.500
N1 0.000 0.500 0.000
N2 0.500 0.000 0.000
F1 0.000 0.000 0.500

(9)
## CuPdNF2 (PBE)

Data for a relaxed structure of CuPdNF2.

Values from the calculation:
volume	14.0	Å³/atom
uncorrected formation energy	0.67	eV/f.u.
SG	P4/mmm (123)
total DFT energy (no corrections)	-20.68	eV per formula unit
total magnetization	0.00	μB per cell

abc: 4.341 4.341 3.717
angles: 90.00 90.00 90.00
Positions (direct):
Cu1 0.000 0.000 0.000
Pd1 0.500 0.500 0.500
N1 0.500 0.500 0.000
F1 0.000 0.500 0.500
F2 0.500 0.000 0.500

(10)
## CuPtN2F (PBE)

Data for a relaxed structure of CuPtN2F.

Values from the calculation:
volume	16.2	Å³/atom
uncorrected formation energy	4.62	eV/f.u.
SG	P4/mmm (123)
total DFT energy (no corrections)	-24.04	eV per formula unit
total magnetization	0.04	μB per cell

abc: 3.697 3.697 5.928
angles: 90.00 90.00 90.00
Positions (direct):
Cu1 0.000 0.000 0.000
Pt1 0.500 0.500 0.500
N1 0.000 0.500 0.500
N2 0.500 0.000 0.500
F1 0.500 0.500 0.000

(11)
## CuPtN2F (PBE)

Data for a relaxed structure of CuPtN2F.

Values from the calculation:
volume	11.0	Å³/atom
uncorrected formation energy	6.54	eV/f.u.
SG	P4/mmm (123)
total DFT energy (no corrections)	-22.12	eV per formula unit
total magnetization	0.00	μB per cell

abc: 3.884 3.884 3.631
angles: 90.00 90.00 90.00
Positions (direct):
Cu1 0.000 0.000 0.000
Pt1 0.500 0.500 0.500
N1 0.000 0.500 0.000
N2 0.500 0.000 0.000
F1 0.000 0.000 0.500

(12)
## Rb2CuNF6 (PBE)

Data for a relaxed structure of Rb2CuNF6.

Values from the calculation:
volume	15.3	Å³/atom
uncorrected formation energy	-14.02	eV/f.u.
SG	I4/mmm (139)
total DFT energy (no corrections)	-39.60	eV per formula unit
total magnetization	2.00	μB per cell

abc: 6.248 6.248 6.248
angles: 126.48 126.48 79.10
Positions (direct):
Rb1 0.250 0.750 0.500
Rb2 0.750 0.250 0.500
Cu1 0.000 0.000 0.000
N1 0.500 0.500 0.000
F1 0.192 0.192 0.000
F2 0.271 0.271 0.542
F3 0.271 0.729 0.000
F4 0.729 0.271 0.000
F5 0.729 0.729 0.458
F6 0.808 0.808 0.000